{
  "formula": "Ca2TlBr",
  "functional": "PBE",
  "state": "relaxed",
  "e_form_raw_ev_per_fu": -0.88,
  "crystal_system": "cubic",
  "spacegroup": "No. 216",
  "de_polymorph_mev_per_atom": 701,
  "lattice_angstrom": [[0.000, 4.054, 4.054], [4.054, 0.000, 4.054], [4.054, 4.054, 0.000]],
  "species": ["Ca", "Ca", "Tl", "Br"],
  "fractional_positions": [[0.000, 0.000, 0.000], [0.250, 0.250, 0.250], [0.500, 0.500, 0.500], [0.750, 0.750, 0.750]]
}

***

{
  "formula": "HfPt3Rh",
  "functional": "PBE",
  "state": "relaxed",
  "formation_energy_ev_per_atom": -0.564,
  "crystal_system": "monoclinic",
  "spacegroup": "No. 14",
  "de_polymorph_mev_per_atom": 0,
  "lattice_angstrom": [[5.582, 0.000, 0.000], [0.000, 5.605, 0.000], [-2.790, 0.000, 11.457]],
  "species": ["Hf", "Hf", "Hf", "Hf", "Pt", "Pt", "Pt", "Pt", "Pt", "Pt", "Pt", "Pt", "Pt", "Pt", "Pt", "Pt", "Rh", "Rh", "Rh", "Rh"],
  "fractional_positions": [[0.243, 0.134, 0.262], [0.243, 0.366, 0.762], [0.757, 0.634, 0.238], [0.757, 0.866, 0.738], [0.244, 0.632, 0.248], [0.244, 0.868, 0.748], [0.404, 0.617, 0.578], [0.404, 0.883, 0.078], [0.407, 0.130, 0.583], [0.407, 0.370, 0.083], [0.593, 0.630, 0.917], [0.593, 0.870, 0.417], [0.596, 0.117, 0.922], [0.596, 0.383, 0.422], [0.756, 0.132, 0.252], [0.756, 0.368, 0.752], [0.081, 0.625, 0.919], [0.081, 0.875, 0.419], [0.919, 0.125, 0.581], [0.919, 0.375, 0.081]]
}